Record 1
This record from Alexandria describes a relaxed structure of MnTlAg2. The functional is GGA-PBE.

For the energy of formation, the calculation gives 0.302 eV per atom. The calculation puts the final energy at -4.01 eV/atom.

The space group is Cm (No. 8) and the conventional cell measures 9.644, 3.260 and 5.083 Å, with angles of 90.00, 103.07 and 90.00 degrees. The inequivalent atoms are Mn at (0.000, 0.000, 0.000), Tl at (0.254, 0.500, 0.261), Ag at (0.010, 0.500, 0.532) and Ag at (0.260, 0.000, 0.770).

=====

Record 2
This record from Alexandria describes a relaxed structure of LaMgSb. The functional is GGA-PBE.

The calculation puts the final energy at -3.84 eV/atom. The formation energy from raw total energies is -0.292 eV/atom.

The space group is F-43m (No. 216) and the conventional cell measures 7.498, 7.498 and 7.498 Å, with angles of 90.00, 90.00 and 90.00 degrees. The inequivalent atoms are La at (0.000, 0.000, 0.000), Mg at (0.250, 0.250, 0.750) and Sb at (0.250, 0.250, 0.250).

=====

Record 3
This record from Alexandria describes a relaxed structure of Tb4AlZn2Rh. The functional is GGA-PBE.

For the energy of formation, the calculation gives -0.499 eV per atom. The calculation puts the final energy at -4.52 eV/atom.

The space group is R-3m (No. 166, hexagonal axes) and the conventional cell measures 5.0325, 5.0325 and 24.4994 Å, with angles of 90.00, 90.00 and 120.00 degrees. The inequivalent atoms are Tb at (0.0000, 0.0000, 0.1193), Tb at (0.0000, 0.0000, 0.3710), Al at (0.0000, 0.0000, 0.5000), Zn at (0.0000, 0.0000, 0.2428) and Rh at (0.0000, 0.0000, 0.0000).

=====

Record 4
This record from Alexandria describes a relaxed structure of Ba2PmAg2Se4. The functional is GGA-PBE.

The calculation puts the final energy at -4.45 eV/atom. The formation energy from raw total energies is -1.312 eV/atom.

The space group is C2/m (No. 12) and the conventional cell measures 16.296, 4.228 and 8.057 Å, with angles of 90.00, 113.50 and 90.00 degrees. The inequivalent atoms are Ba at (0.135, 0.000, 0.084), Pm at (0.000, 0.000, 0.500), Ag at (0.187, 0.500, 0.506), Se at (0.017, 0.500, 0.248) and Se at (0.194, 0.000, 0.736).

=====

Record 5
This record from Alexandria describes a relaxed structure of KUCu2O6. The functional is GGA-PBE.

The calculation puts the final energy at -6.66 eV/atom. The formation energy from raw total energies is -1.627 eV/atom.

The space group is C2/c (No. 15) and the conventional cell measures 11.336, 7.802 and 6.707 Å, with angles of 90.00, 109.53 and 90.00 degrees. The inequivalent atoms are K at (0.000, 0.112, 0.250), U at (0.000, 0.384, 0.750), Cu at (0.248, 0.409, 0.212), O at (0.074, 0.401, 0.122), O at (0.091, 0.189, 0.666) and O at (0.232, 0.435, 0.922).

=====

Record 6
This record from Alexandria describes a relaxed structure of Mn2Be. The functional is GGA-PBE.

For the energy of formation, the calculation gives -0.004 eV per atom. The calculation puts the final energy at -7.36 eV/atom.

The space group is Pnma (No. 62) and the conventional cell measures 4.658, 3.776 and 6.850 Å, with angles of 90.00, 90.00 and 90.00 degrees. The inequivalent atoms are Mn at (0.032, 0.250, 0.246), Mn at (0.185, 0.250, 0.917) and Be at (0.184, 0.250, 0.584).

=====

Record 7
This record from Alexandria describes a relaxed structure of Np3Pa2Se8. The functional is GGA-PBE.

The calculation puts the final energy at -7.71 eV/atom. The formation energy from raw total energies is -1.114 eV/atom.

The space group is Cmmm (No. 65) and the conventional cell measures 9.734, 13.813 and 4.966 Å, with angles of 90.00, 90.00 and 90.00 degrees. The inequivalent atoms are Np at (0.000, 0.000, 0.000), Np at (0.227, 0.500, 0.500), Pa at (0.000, 0.257, 0.000), Se at (0.000, 0.120, 0.500), Se at (0.000, 0.366, 0.500) and Se at (0.246, 0.124, 0.000).

=====

Record 8
This record from Alexandria describes a relaxed structure of TaReAs2. The functional is GGA-PBE.

For the energy of formation, the calculation gives -0.071 eV per atom. The calculation puts the final energy at -8.47 eV/atom.

The space group is Imm2 (No. 44) and the conventional cell measures 3.323, 3.644 and 11.016 Å, with angles of 90.00, 90.00 and 90.00 degrees. The inequivalent atoms are Ta at (0.000, 0.000, 0.000), Re at (0.000, 0.500, 0.743), As at (0.000, 0.000, 0.581) and As at (0.000, 0.500, 0.318).

=====

Record 9
This record from Alexandria describes a relaxed structure of RbTmAgCl6. The functional is GGA-PBE.

The calculation puts the final energy at -3.73 eV/atom. The formation energy from raw total energies is -1.575 eV/atom.

The space group is P1 (No. 1) and the conventional cell measures 6.746, 6.756 and 7.342 Å, with angles of 91.92, 92.13 and 115.73 degrees. The inequivalent atoms are Rb at (0.000, 0.000, 0.000), Tm at (0.336, 0.665, 0.501), Ag at (0.679, 0.321, 0.500), Cl at (0.021, 0.358, 0.679), Cl at (0.037, 0.630, 0.266), Cl at (0.374, 0.962, 0.738), Cl at (0.399, 0.365, 0.294), Cl at (0.636, 0.599, 0.707) and Cl at (0.642, 0.980, 0.322).

=====

Record 10
This record from Alexandria describes a relaxed structure of Pr2Nd3Y6In. The functional is GGA-PBE.

For the energy of formation, the calculation gives -0.062 eV per atom. The calculation puts the final energy at -5.51 eV/atom.

The space group is C2/m (No. 12) and the conventional cell measures 6.198, 10.737 and 11.863 Å, with angles of 90.00, 100.06 and 90.00 degrees. The inequivalent atoms are Pr at (0.000, 0.166, 0.000), Nd at (0.000, 0.000, 0.500), Nd at (0.000, 0.333, 0.500), Y at (0.244, 0.337, 0.246), Y at (0.244, 0.500, 0.753) and In at (0.000, 0.500, 0.000).

=====

Record 11
This record from Alexandria describes a relaxed structure of SrSbTe2W. The functional is GGA-PBE.

The calculation puts the final energy at -4.55 eV/atom. The formation energy from raw total energies is 0.454 eV/atom.

The space group is P4/mmm (No. 123) and the conventional cell measures 5.191, 5.191 and 6.230 Å, with angles of 90.00, 90.00 and 90.00 degrees. The inequivalent atoms are Sr at (0.000, 0.000, 0.000), Sb at (0.500, 0.500, 0.000), Te at (0.000, 0.500, 0.500) and W at (0.000, 0.000, 0.500).

=====

Record 12
This record from Alexandria describes a relaxed structure of Ac2Pr9Sm. The functional is GGA-PBE.

For the energy of formation, the calculation gives 0.108 eV per atom. The calculation puts the final energy at -4.55 eV/atom.

The space group is P4/mmm (No. 123) and the conventional cell measures 6.232, 6.232 and 11.518 Å, with angles of 90.00, 90.00 and 90.00 degrees. The inequivalent atoms are Ac at (0.000, 0.000, 0.171), Pr at (0.000, 0.500, 0.000), Pr at (0.000, 0.500, 0.341), Pr at (0.500, 0.500, 0.164), Pr at (0.500, 0.500, 0.500) and Sm at (0.000, 0.000, 0.500).